DFT (PBE) results for crystalline Ru2PtBr at its relaxed geometry.

Unit cell a=6.3661 b=6.3661 c=6.3661 alpha=90.00 beta=90.00 gamma=90.00
With the nearest neighbours (Å) after each atom.
Space group F-43m (No. 216)
One atom of each set of equivalent atoms:
Ru: 0.0000 0.0000 0.0000  4 Ru 2.76, 4 Pt 2.76
Ru: 0.2500 0.2500 0.2500  4 Br 2.76, 4 Ru 2.76
Pt: 0.2500 0.2500 0.7500  4 Br 2.76, 4 Ru 2.76
Br: 0.0000 0.0000 0.5000  4 Ru 2.76, 4 Pt 2.76

Calculated values
The density of states at the Fermi level comes out at 1.41 states/eV per atom. For the offset from the most stable computed form, the calculation gives 558 meV/atom.


DFT (PBE) results for crystalline RbTl2HgIr at its relaxed geometry.

Unit cell a=5.3241 b=5.3241 c=5.4897 alpha=90.00 beta=90.00 gamma=90.00
With the nearest neighbours (Å) after each atom.
Space group P4/mmm (No. 123)
One atom of each set of equivalent atoms:
Rb: 0.0000 0.0000 0.0000  4 Hg 3.76, 8 Tl 3.82
Tl: 0.0000 0.5000 0.5000  2 Ir 2.66
Hg: 0.5000 0.5000 0.0000  2 Ir 2.74
Ir: 0.5000 0.5000 0.5000  4 Tl 2.66, 2 Hg 2.74

Calculated values
For the formation energy, the calculation gives -0.043 eV/atom. The density of states at the Fermi level comes out at 0.29 states/eV per atom.


DFT (PBE) results for crystalline Er4Bi2Pb at its relaxed geometry.

Unit cell a=9.7229 b=9.7229 c=9.5288 alpha=90.00 beta=90.00 gamma=90.00
With the nearest neighbours (Å) after each atom.
Space group I4_1/amd (No. 141, origin choice 2)
One atom of each set of equivalent atoms:
Er: 0.0000 0.0607 0.1860  3 Bi 3.05-3.11, 1 Pb 3.08
Bi: 0.0000 0.0000 0.5000  6 Er 3.05-3.11
Pb: 0.0000 0.2500 0.8750  4 Er 3.08

Calculated values
For the formation energy, the calculation gives -0.444 eV/atom. The density of states at the Fermi level comes out at 0.74 states/eV per atom.


DFT (PBE) results for crystalline NdTm2Pd at its relaxed geometry.

Unit cell a=3.8517 b=3.8517 c=27.3606 alpha=90.00 beta=90.00 gamma=120.00
With the nearest neighbours (Å) after each atom.
Space group R3m (No. 160, hexagonal axes)
One atom of each set of equivalent atoms:
Nd: 0.0000 0.0000 0.0000  6 Tm 3.59-3.69, 6 Nd 3.85
Tm: 0.0000 0.0000 0.5591  3 Pd 2.79
Tm: 0.0000 0.0000 0.7697  3 Pd 2.78
Pd: 0.0000 0.0000 0.1639  6 Tm 2.78-2.79

Calculated values
For the formation energy, the calculation gives -0.332 eV/atom. The density of states at the Fermi level comes out at 1.03 states/eV per atom. For the offset from the most stable computed form, the calculation gives 136 meV/atom.


DFT (PBE) results for crystalline SrAc3Pr2S6 at its relaxed geometry.

Unit cell a=7.3296 b=12.6993 c=7.3177 alpha=90.00 beta=109.40 gamma=90.00
With the nearest neighbours (Å) after each atom.
Space group C2/m (No. 12)
One atom of each set of equivalent atoms:
Sr: 0.0000 0.0000 0.0000  6 S 2.95-2.96
Ac: 0.0000 0.1661 0.5000  6 S 3.03-3.04
Ac: 0.0000 0.5000 0.5000  6 S 3.03
Pr: 0.0000 0.3330 0.0000  6 S 2.95
S: 0.2449 0.5000 0.2386  2 Pr 2.95, 1 Sr 2.95, 3 Ac 3.03-3.04
S: 0.2475 0.1673 0.2409  2 Pr 2.95, 1 Sr 2.96, 3 Ac 3.03

Calculated values
The calculation puts the energy at -6.044 eV per atom. The density of states at the Fermi level comes out at 0.49 states/eV per atom.


DFT (PBE) results for crystalline RbLiTl2In at its relaxed geometry.

Unit cell a=5.4746 b=5.4746 c=5.3695 alpha=90.00 beta=90.00 gamma=90.00
With the nearest neighbours (Å) after each atom.
Space group P4/mmm (No. 123)
One atom of each set of equivalent atoms:
Rb: 0.0000 0.0000 0.0000  8 Tl 3.83, 4 In 3.87
Li: 0.5000 0.5000 0.5000  2 In 2.68, 4 Tl 2.74
Tl: 0.0000 0.5000 0.5000  2 Li 2.74
In: 0.5000 0.5000 0.0000  2 Li 2.68

Calculated values
For the formation energy, the calculation gives -0.002 eV/atom. The density of states at the Fermi level comes out at 0.62 states/eV per atom.


DFT (PBE) results for crystalline LiCeTcSb at its relaxed geometry.

Unit cell a=6.7318 b=6.7318 c=6.7318 alpha=90.00 beta=90.00 gamma=90.00
With the nearest neighbours (Å) after each atom.
Space group F-43m (No. 216)
One atom of each set of equivalent atoms:
Li: 0.0000 0.0000 0.0000  4 Ce 2.91, 4 Sb 2.91
Ce: 0.2500 0.2500 0.2500  4 Li 2.91, 4 Tc 2.91
Tc: 0.0000 0.0000 0.5000  4 Sb 2.91, 4 Ce 2.91
Sb: 0.2500 0.2500 0.7500  4 Li 2.91, 4 Tc 2.91

Calculated values
The calculation puts the energy at -5.892 eV per atom. The density of states at the Fermi level comes out at 1.35 states/eV per atom.


DFT (PBE) results for crystalline KCo2Br at its relaxed geometry.

Unit cell a=5.6356 b=12.4135 c=3.4802 alpha=90.00 beta=127.59 gamma=90.00
With the nearest neighbours (Å) after each atom.
Space group C2/m (No. 12)
One atom of each set of equivalent atoms:
K: 0.0000 0.0000 0.0000  4 Br 2.82-2.84
Co: 0.2500 0.2500 0.5000  4 Co 2.82-2.84
Br: 0.0000 0.5000 0.0000  4 K 2.82-2.84

Calculated values
The density of states at the Fermi level comes out at 1.22 states/eV per atom. For the offset from the most stable computed form, the calculation gives 490 meV/atom.